# Cd2AsIr

A PBEsol-optimized structure of Cd2AsIr (SCAN, the Alexandria database).

Geometry as POSCAR:
```
Cd2AsIr
1.0
3.180 0.000 0.000
0.000 4.028 0.000
0.000 0.000 5.478
Cd As Ir
2 1 1
Cartesian
0.000 0.000 1.325
0.000 0.000 4.153
1.590 2.014 2.739
1.590 2.014 0.000
```

Output
The calculated volume is 17.5 Å³ per atom. The value obtained for the total energy is -151.05 eV per cell. As for the space group: Pmmm, No. 47. Its formation energy is 0.267 eV/atom. The size of the total moment is 0.0 μB per cell.

=====

# Y2TaSi

A PBEsol-optimized structure of Y2TaSi (SCAN, the Alexandria database).

Geometry as POSCAR:
```
Y2TaSi
1.0
3.123 0.000 0.000
0.000 3.123 0.000
0.000 0.000 8.792
Y Ta Si
2 1 1
Cartesian
0.000 0.000 2.044
0.000 0.000 6.748
1.562 1.562 4.396
1.562 1.562 0.000
```

Output
The calculated volume is 21.4 Å³ per atom. The value obtained for the total energy is -132.19 eV per cell. As for the space group: P4/mmm, No. 123. The size of the total moment is 0.0 μB per cell.